# AlGeW4C2

A relaxed AlGeW4C2 crystal (PBE-GGA, OQMD).

abc: 3.087 3.087 13.101
angles: 90.00 90.00 120.00
Element x y z (fractional)
1 Al 0.667 0.333 0.500
2 C 0.333 0.667 0.246
3 C 0.333 0.667 0.754
4 Ge 0.000 0.000 0.000
5 W 0.667 0.333 0.156
6 W 0.000 0.000 0.336
7 W 0.000 0.000 0.664
8 W 0.667 0.333 0.844

Calculated values
DFT total energy = -77.769 eV for the cell shown

---

# SiGeIr

A relaxed SiGeIr crystal (PBE-GGA, OQMD).

abc: 4.107 4.107 4.107
angles: 60.00 60.00 60.00
Element x y z (fractional)
1 Ge 0.250 0.250 0.250
2 Ir 0.750 0.750 0.750
3 Si 0.000 0.000 0.000

Calculated values
energy above the most stable polymorph in this dataset = 496 meV/atom
DFT total energy = -18.428 eV for the cell shown